A plane-wave DFT calculation with GGA-PBE was carried out for a relaxed structure of SmDyPu2P4.

* formation energy: -1.3709 eV/atom

POSCAR file:
```
SmDyPu2P4
1.0
6.933 0.000 0.000
0.000 4.034 0.000
-2.346 0.000 6.578
Sm Dy Pu P
1 1 2 4
Direct
0.000 0.000 0.000 Sm
0.000 0.500 0.500 Dy
0.500 0.000 0.500 Pu
0.500 0.500 0.000 Pu
0.258 0.000 0.750 P
0.260 0.500 0.257 P
0.740 0.500 0.743 P
0.742 0.000 0.250 P
```

***

A plane-wave DFT calculation with GGA-PBE was carried out for a relaxed structure of SmAlAs2O8.

* uncorrected energy: -81.9 eV for the cell shown

POSCAR file:
```
SmAlAs2O8
1.0
5.320 0.000 0.000
-2.660 4.608 0.000
0.000 0.000 6.543
Sm Al As O
1 1 2 8
Direct
0.000 0.000 0.000 Sm
0.000 0.000 0.500 Al
0.333 0.667 0.236 As
0.667 0.333 0.764 As
0.156 0.311 0.311 O
0.156 0.844 0.311 O
0.311 0.156 0.689 O
0.333 0.667 0.978 O
0.667 0.333 0.022 O
0.689 0.844 0.311 O
0.844 0.156 0.689 O
0.844 0.689 0.689 O
```

***

A plane-wave DFT calculation with GGA-PBE was carried out for a relaxed structure of HgPPb2.

* formation energy: 0.2102 eV/atom
* polymorph energy (0 for the lowest one): 0.168 eV per atom

POSCAR file:
```
HgPPb2
1.0
3.573 -3.599 0.000
3.573 3.599 0.000
-0.020 0.000 4.045
Hg P Pb
1 1 2
Direct
0.000 0.000 0.000 Hg
0.500 0.500 0.000 P
0.000 0.500 0.500 Pb
0.500 0.000 0.500 Pb
```

***

A plane-wave DFT calculation with GGA-PBE was carried out for a relaxed structure of Ac4Cu3Pd5.

* formation energy: -0.4161 eV/atom

POSCAR file:
```
Ac4Cu3Pd5
1.0
7.561 -2.328 0.000
7.561 2.328 0.000
-5.626 0.000 8.923
Ac Cu Pd
4 3 5
Direct
0.043 0.043 0.332 Ac
0.264 0.264 0.779 Ac
0.736 0.736 0.221 Ac
0.957 0.957 0.668 Ac
0.000 0.000 0.000 Cu
0.393 0.393 0.122 Cu
0.607 0.607 0.878 Cu
0.284 0.284 0.477 Pd
0.407 0.407 0.367 Pd
0.500 0.500 0.000 Pd
0.593 0.593 0.633 Pd
0.716 0.716 0.523 Pd
```

***

A plane-wave DFT calculation with GGA-PBE was carried out for a relaxed structure of Ac2Nd8Dy3.

* formation energy: 0.1839 eV/atom

POSCAR file:
```
Ac2Nd8Dy3
1.0
6.724 -6.032 0.000
6.724 6.032 0.000
-2.510 0.000 5.794
Ac Nd Dy
2 8 3
Direct
0.199 0.199 0.342 Ac
0.801 0.801 0.658 Ac
0.076 0.076 0.760 Nd
0.087 0.587 0.334 Nd
0.357 0.357 0.940 Nd
0.413 0.913 0.666 Nd
0.587 0.087 0.334 Nd
0.643 0.643 0.060 Nd
0.913 0.413 0.666 Nd
0.924 0.924 0.240 Nd
0.244 0.756 0.000 Dy
0.500 0.500 0.500 Dy
0.756 0.244 0.000 Dy
```

***

A plane-wave DFT calculation with GGA-PBE was carried out for a relaxed structure of TeAsWN2.

* polymorph energy (0 for the lowest one): 0.000 eV per atom

POSCAR file:
```
TeAsWN2
1.0
3.964 0.000 0.000
0.000 3.964 0.000
0.000 0.000 5.798
Te As W N
1 1 1 2
Direct
0.000 0.000 0.000 Te
0.500 0.500 0.000 As
0.000 0.000 0.500 W
0.000 0.500 0.500 N
0.500 0.000 0.500 N
```